[1]
A plane-wave DFT calculation with PBEsol was carried out for an optimized crystal structure of CuSbAu. Values from VASP.

Geometry as Quantum ESPRESSO input:
```
&SYSTEM
  ibrav = 0, nat = 3, ntyp = 3
/
ATOMIC_SPECIES
Sb 121.76 Sb.upf
Cu 63.55 Cu.upf
Au 196.97 Au.upf
CELL_PARAMETERS angstrom
-3.0805 0.6702 2.9493
-1.1866 -3.1974 2.6467
1.0245 0.1739 4.1901
ATOMIC_POSITIONS angstrom
Sb 0.0000 0.0000 0.0000
Cu -2.4319 -1.7650 7.3396
Au -1.6213 -1.1767 4.8931
```

## Properties
Raw total energy, eV/atom: -4.27
Symmetry: F-43m (216)
Formation energy without anion corrections, eV per formula unit: 0.01

[2]
A plane-wave DFT calculation with PBEsol was carried out for an optimized crystal structure of Mg2Sc. Values from VASP.

Geometry as Quantum ESPRESSO input:
```
&SYSTEM
  ibrav = 0, nat = 6, ntyp = 2
/
ATOMIC_SPECIES
Sc 44.96 Sc.upf
Mg 24.30 Mg.upf
CELL_PARAMETERS angstrom
3.2680 0.0000 0.0000
0.0000 5.1273 0.0000
-1.6340 0.0000 8.1443
ATOMIC_POSITIONS angstrom
Sc 1.6340 1.2818 7.1999
Sc 0.0000 3.8455 0.9443
Mg 0.0000 3.8455 6.3822
Mg 1.6340 1.2818 1.7620
Mg 0.0000 1.2818 4.4732
Mg 1.6340 3.8455 3.6711
```

## Properties
Raw total energy, eV/atom: -3.37
Symmetry: Cmcm (63)
Energy of formation, eV per atom: -0.02

[3]
A plane-wave DFT calculation with PBEsol was carried out for an optimized crystal structure of TaFeSeN2. Values from VASP.

Geometry as Quantum ESPRESSO input:
```
&SYSTEM
  ibrav = 0, nat = 5, ntyp = 4
/
ATOMIC_SPECIES
N 14.01 N.upf
Fe 55.84 Fe.upf
Se 78.96 Se.upf
Ta 180.95 Ta.upf
CELL_PARAMETERS angstrom
-3.6511 -0.8720 -1.1643
1.3724 -3.1078 -1.9760
-0.6501 -3.0225 4.3023
ATOMIC_POSITIONS angstrom
N 0.6862 -1.5539 -0.9880
N -1.8256 -0.4360 -0.5822
Fe -1.4644 -3.5012 0.5810
Se -0.3250 -1.5112 2.1511
Ta 0.0000 0.0000 0.0000
```

## Properties
Raw total energy, eV/atom: -8.05
Symmetry: P4/mmm (123)
Formation energy without anion corrections, eV per formula unit: 2.16

[4]
A plane-wave DFT calculation with PBEsol was carried out for an optimized crystal structure of ScCdPb2. Values from VASP.

Geometry as Quantum ESPRESSO input:
```
&SYSTEM
  ibrav = 0, nat = 4, ntyp = 3
/
ATOMIC_SPECIES
Pb 207.20 Pb.upf
Sc 44.96 Sc.upf
Cd 112.41 Cd.upf
CELL_PARAMETERS angstrom
-1.3208 -2.9541 0.8428
1.5235 0.1668 2.9720
-7.2018 4.2059 3.4556
ATOMIC_POSITIONS angstrom
Pb -5.4791 3.1998 2.6290
Pb -1.7228 1.0061 0.8266
Sc 0.1013 -1.3936 1.9074
Cd -3.4996 0.7093 3.6352
```

## Properties
Raw total energy, eV/atom: -4.00
Symmetry: P4/mmm (123)
Energy of formation, eV per atom: -0.05

[5]
A plane-wave DFT calculation with PBEsol was carried out for an optimized crystal structure of CuTcPt2. Values from VASP.

Geometry as Quantum ESPRESSO input:
```
&SYSTEM
  ibrav = 0, nat = 4, ntyp = 3
/
ATOMIC_SPECIES
Cu 63.55 Cu.upf
Tc 98.00 Tc.upf
Pt 195.08 Pt.upf
CELL_PARAMETERS angstrom
2.6781 0.0000 0.0000
0.0000 4.6963 0.0048
0.0000 -1.6060 4.4132
ATOMIC_POSITIONS angstrom
Cu 1.3391 1.5452 2.2090
Tc 1.3391 0.0000 0.0000
Pt 0.0000 2.3482 0.0024
Pt 0.0000 -0.8030 2.2066
```

## Properties
Raw total energy, eV/atom: -7.44
Symmetry: Cmmm (65)
Energy of formation, eV per atom: -0.06

[6]
A plane-wave DFT calculation with PBEsol was carried out for an optimized crystal structure of CaPSe. Values from VASP.

Geometry as Quantum ESPRESSO input:
```
&SYSTEM
  ibrav = 0, nat = 3, ntyp = 3
/
ATOMIC_SPECIES
Ca 40.08 Ca.upf
P 30.97 P.upf
Se 78.96 Se.upf
CELL_PARAMETERS angstrom
4.6812 0.0000 0.0000
2.3406 4.0540 0.0000
2.3406 1.3513 3.8222
ATOMIC_POSITIONS angstrom
Ca 0.0000 0.0000 0.0000
P 4.6812 2.7027 1.9111
Se 2.3406 1.3513 0.9555
```

## Properties
Raw total energy, eV/atom: -4.26
Symmetry: F-43m (216)
Formation energy without anion corrections, eV per formula unit: -1.00

[7]
A plane-wave DFT calculation with PBEsol was carried out for an optimized crystal structure of OsSO2. Values from VASP.

Geometry as Quantum ESPRESSO input:
```
&SYSTEM
  ibrav = 0, nat = 4, ntyp = 3
/
ATOMIC_SPECIES
Os 190.23 Os.upf
S 32.06 S.upf
O 16.00 O.upf
CELL_PARAMETERS angstrom
2.8939 0.0000 0.0000
1.4469 2.5062 0.0000
1.4469 0.8354 6.4767
ATOMIC_POSITIONS angstrom
Os 2.8939 1.6708 3.2384
S 0.0000 0.0000 0.0000
O 1.4469 0.8354 4.4853
O 4.3408 2.5062 1.9914
```

## Properties
Raw total energy, eV/atom: -6.76
Symmetry: R-3m (166)
Formation energy without anion corrections, eV per formula unit: 0.07

[8]
A plane-wave DFT calculation with PBEsol was carried out for an optimized crystal structure of NaSi2H3O6. Values from VASP.

Geometry as Quantum ESPRESSO input:
```
&SYSTEM
  ibrav = 0, nat = 48, ntyp = 4
/
ATOMIC_SPECIES
O 16.00 O.upf
Na 22.99 Na.upf
H 1.01 H.upf
Si 28.09 Si.upf
CELL_PARAMETERS angstrom
-5.2332 1.8936 4.4319
-8.0762 -0.7650 -3.4995
-3.1257 -7.5644 5.2513
ATOMIC_POSITIONS angstrom
O -9.1020 -0.0631 3.9823
O -13.1801 -1.1147 2.4712
O -3.6469 -5.1793 4.0443
O -6.0439 -2.4484 0.9949
O -9.6298 -4.3295 1.1067
O -6.6401 -3.2174 6.9297
O -7.8223 -4.2594 4.7965
O -9.9142 0.6406 1.5024
O -8.4112 -6.3924 6.2821
O -8.4426 -1.7614 5.6512
O -9.3395 -1.9134 2.0026
O -11.6054 -2.5633 0.7872
O -6.0790 -2.3690 4.4619
O -5.2189 -0.1510 3.2602
O -10.3416 -5.2841 4.7492
O -11.1520 -3.5312 3.2081
O -7.4475 -0.1783 1.8228
O -8.1814 -6.5492 3.6782
O -6.4184 -5.4248 1.8243
O -5.0772 -5.4375 6.2686
O -14.5595 -5.0751 5.7549
O -9.9289 -5.5196 8.3570
O -10.0017 -1.4889 -1.2334
O -7.0490 -0.7198 -1.7136
Na -5.0362 -3.7915 2.6842
Na -3.0904 0.1108 0.4594
Na -7.3579 -4.1065 0.0773
Na -11.9203 -7.0619 4.5180
H -9.3229 -2.1836 -1.4956
H -4.5092 -5.1941 5.4748
H -6.9621 -5.8274 2.5415
H -7.3863 -1.7280 -1.8570
H -8.6764 -1.0411 4.8914
H -10.6191 -1.9147 -0.5935
H -11.1429 -4.2792 5.8160
H -5.5477 -4.6182 6.5500
H -5.3057 -2.1516 0.3792
H -4.1972 -6.4633 3.9319
H -10.7569 -4.3098 3.8314
H -6.5882 -1.6522 1.1991
Si -8.7794 -5.5798 4.8849
Si -7.2925 -2.8674 5.4526
Si -10.1343 -5.7966 0.5225
Si -10.4423 -3.0980 1.8318
Si -5.0105 -1.1060 4.5686
Si -8.9821 -0.3760 2.4221
Si -6.1958 0.7686 2.3390
Si -8.9224 -7.6808 2.7295
```

## Properties
Raw total energy, eV/atom: -6.58
Symmetry: Fdd2 (43)

[9]
A plane-wave DFT calculation with PBEsol was carried out for an optimized crystal structure of ScSi2Hg. Values from VASP.

Geometry as Quantum ESPRESSO input:
```
&SYSTEM
  ibrav = 0, nat = 8, ntyp = 3
/
ATOMIC_SPECIES
Si 28.09 Si.upf
Sc 44.96 Sc.upf
Hg 200.59 Hg.upf
CELL_PARAMETERS angstrom
-0.0696 4.6129 -3.4065
-5.1567 1.9212 -2.1204
-0.5992 5.3439 2.4213
ATOMIC_POSITIONS angstrom
Si -0.4572 6.6356 -1.8664
Si -5.3857 6.3956 -2.0909
Si -2.7077 1.5935 -1.4074
Si -3.1004 9.1312 -0.8467
Sc -0.0348 2.3065 -1.7033
Sc -2.8953 4.7857 -0.7012
Hg -2.9301 7.0922 -2.4045
Hg 0.0000 0.0000 0.0000
```

## Properties
Raw total energy, eV/atom: -4.63
Symmetry: I-42d (122)
Formation energy without anion corrections, eV per formula unit: 0.13

[10]
A plane-wave DFT calculation with PBEsol was carried out for an optimized crystal structure of MnCu2Sb. Values from VASP.

Geometry as Quantum ESPRESSO input:
```
&SYSTEM
  ibrav = 0, nat = 4, ntyp = 3
/
ATOMIC_SPECIES
Cu 63.55 Cu.upf
Sb 121.76 Sb.upf
Mn 54.94 Mn.upf
CELL_PARAMETERS angstrom
-2.2385 1.6720 0.6843
-1.1418 0.0935 -3.9637
-2.9472 -4.2590 0.7485
ATOMIC_POSITIONS angstrom
Cu -3.0663 0.4733 0.8945
Cu -2.1194 -3.0603 0.5383
Sb -0.5709 0.0468 -1.9818
Mn -3.1637 -1.2467 -1.2655
```

## Properties
Raw total energy, eV/atom: -5.46
Symmetry: Pmmm (47)
Formation energy without anion corrections, eV per formula unit: 1.13

[11]
A plane-wave DFT calculation with PBEsol was carried out for an optimized crystal structure of RuS2BrN. Values from VASP.

Geometry as Quantum ESPRESSO input:
```
&SYSTEM
  ibrav = 0, nat = 5, ntyp = 4
/
ATOMIC_SPECIES
Ru 101.07 Ru.upf
Br 79.90 Br.upf
S 32.06 S.upf
N 14.01 N.upf
CELL_PARAMETERS angstrom
-3.0827 -0.4234 -1.7027
-1.5501 -2.8508 3.5156
-1.7881 3.7995 2.2925
ATOMIC_POSITIONS angstrom
Ru -3.2105 0.2626 2.0527
Br 0.0000 0.0000 0.0000
S -0.7751 -1.4254 1.7578
S -0.8941 1.8997 1.1463
N -1.5414 -0.2117 -0.8513
```

## Properties
Raw total energy, eV/atom: -3.91
Symmetry: P4/mmm (123)
Formation energy without anion corrections, eV per formula unit: 9.81

[12]
A plane-wave DFT calculation with PBEsol was carried out for an optimized crystal structure of TcP3. Values from VASP.

Geometry as Quantum ESPRESSO input:
```
&SYSTEM
  ibrav = 0, nat = 16, ntyp = 2
/
ATOMIC_SPECIES
P 30.97 P.upf
Tc 98.00 Tc.upf
CELL_PARAMETERS angstrom
3.0691 0.0000 0.0000
0.0000 5.1310 0.0000
0.0000 0.0000 15.2934
ATOMIC_POSITIONS angstrom
P 2.3018 3.3261 0.2048
P 0.7673 1.8049 15.0886
P 0.7673 1.6369 9.4597
P 0.7673 0.9286 1.8130
P 2.3018 4.2024 13.4804
P 2.3018 3.4941 5.8337
P 0.7673 5.0066 10.8214
P 2.3018 0.1244 4.4720
P 2.3018 4.3704 7.8515
P 2.3018 2.4411 12.1187
P 0.7673 2.6899 3.1747
P 0.7673 0.7606 7.4419
Tc 2.3018 3.3298 9.9488
Tc 2.3018 4.3667 2.3021
Tc 0.7673 0.7643 12.9913
Tc 0.7673 1.8012 5.3446
```

## Properties
Raw total energy, eV/atom: -7.67
Symmetry: Pnma (62)
Energy of formation, eV per atom: -0.51

[13]
A plane-wave DFT calculation with PBEsol was carried out for an optimized crystal structure of AlPb2IO. Values from VASP.

Geometry as Quantum ESPRESSO input:
```
&SYSTEM
  ibrav = 0, nat = 5, ntyp = 4
/
ATOMIC_SPECIES
Pb 207.20 Pb.upf
O 16.00 O.upf
I 126.90 I.upf
Al 26.98 Al.upf
CELL_PARAMETERS angstrom
3.5798 0.0000 0.0000
0.0000 5.9205 0.0000
0.0000 0.0000 5.9205
ATOMIC_POSITIONS angstrom
Pb 0.0000 2.9603 0.0000
Pb 0.0000 0.0000 2.9603
O 0.0000 0.0000 0.0000
I 1.7899 2.9603 2.9603
Al 1.7899 0.0000 0.0000
```

## Properties
Raw total energy, eV/atom: -4.26
Symmetry: P4/mmm (123)
Formation energy without anion corrections, eV per formula unit: -2.18

Magnetic moment
In order: 0.000 0.000 4.047 0.003 0.000 0.000 0.001 0.000 0.000 3.642 1.999 0.000 0.000
Unit: μB/f.u.